# NdHoPt2

NdHoPt2 after structural relaxation (PBE, the Alexandria database).

The structure in CIF format:
```
data_NdHoPt2
_chemical_formula_sum 'Nd2 Ho2 Pt4'
_cell_length_a 4.521
_cell_length_b 3.839
_cell_length_c 10.707
_cell_angle_alpha 90.00
_cell_angle_beta 90.00
_cell_angle_gamma 90.00
_space_group_name_H-M_alt 'A m m 2'
_space_group_IT_number 38
loop_
_space_group_symop_operation_xyz
'x,y,z'
'-x,-y,z'
'-x,y,z'
'x,-y,z'
'x,y+1/2,z+1/2'
'-x,-y+1/2,z+1/2'
'-x,y+1/2,z+1/2'
'x,-y+1/2,z+1/2'
loop_
_atom_site_label
_atom_site_fract_x
_atom_site_fract_y
_atom_site_fract_z
Nd1 0.000 0.000 0.000
Ho1 0.500 0.000 0.275
Pt1 0.000 0.000 0.728
Pt2 0.500 0.000 0.552
```

Results
ρ ... 12.5 Mg/m³
Relative energy among the computed polymorphs ... 0 meV per atom
Total DFT energy (no corrections) ... -52.543 eV/cell
Energy of formation ... -1211 meV/atom
N(E_F) ... 0.617 states/eV/atom
Volume ... 23.23 Å³/atom